Entry 1:
This record from Alexandria via LeMat-Bulk describes a relaxed EuThMgPb crystal. The functional is PBE-GGA.

Formation energy   -0.50 eV per formula unit
Crystal system   cubic
Calculated total energy   -23.5 eV per cell

Cell lengths 5.5442, 5.5442, 5.5442 Å; angles 60.00, 60.00, 60.00 degrees
Element x y z (fractional)
Eu: 0.2500 0.2500 0.2500
Th: 0.7500 0.7500 0.7500
Mg: 0.0000 0.0000 0.0000
Pb: 0.5000 0.5000 0.5000



Entry 2:
This record from Alexandria via LeMat-Bulk describes a relaxed FeReMoIr2 crystal. The functional is PBE-GGA.

Formation energy   10.15 eV per formula unit
Crystal system   tetragonal
Calculated total energy   -39.3 eV per cell

Cell lengths 4.6872, 4.3029, 4.6872 Å; angles 90.00, 90.00, 90.00 degrees
Element x y z (fractional)
Ir: 0.5000 0.0000 0.0000
Fe: 0.0000 0.5000 0.0000
Ir: 0.0000 0.0000 0.5000
Re: 0.5000 0.5000 0.5000
Mo: 0.0000 0.0000 0.0000



Entry 3:
This record from Alexandria via LeMat-Bulk describes a relaxed Ba2TaVS6 crystal. The functional is PBE-GGA.

Crystal system   trigonal
Calculated total energy   -127.5 eV per cell

Cell lengths 6.8593, 6.8593, 12.0440 Å; angles 73.46, 73.46, 60.00 degrees
Element x y z (fractional)
S: 0.2084 0.7068 0.8765
S: 0.2084 0.2084 0.8765
Ba: 0.8769 0.8769 0.3694
S: 0.6209 0.1276 0.6305
Ba: 0.1231 0.1231 0.6306
V: 0.5864 0.5864 0.2409
Ta: 0.0000 0.0000 0.0000
S: 0.7916 0.2932 0.1235
Ba: 0.2922 0.2922 0.1235
S: 0.1276 0.6209 0.6305
S: 0.8724 0.3791 0.3695
Ba: 0.7078 0.7078 0.8765
S: 0.3791 0.8724 0.3695
Ta: 0.5000 0.5000 0.5000
S: 0.3791 0.3791 0.3695
V: 0.4136 0.4136 0.7591
S: 0.6209 0.6209 0.6305
S: 0.7916 0.7916 0.1235
S: 0.2932 0.7916 0.1235
S: 0.7068 0.2084 0.8765



Entry 4:
This record from Alexandria via LeMat-Bulk describes a relaxed CsNa2CuBr4 crystal. The functional is PBE-GGA.

Crystal system   orthorhombic
Calculated total energy   -49.1 eV per cell

Cell lengths 4.3407, 7.8718, 15.1602 Å; angles 90.00, 90.00, 106.00 degrees
Element x y z (fractional)
Br: 0.2550 0.5100 0.1123
Br: 0.4168 0.8335 0.7500
Cu: 0.1688 0.3377 0.2500
Na: 0.3722 0.7444 0.9488
Br: 0.7450 0.4900 0.6123
Br: 0.5832 0.1665 0.2500
Na: 0.6278 0.2556 0.0512
Cs: 0.8912 0.7825 0.2500
Br: 0.0000 0.0000 0.5000
Cs: 0.1088 0.2175 0.7500
Br: 0.7450 0.4900 0.8877
Na: 0.6278 0.2556 0.4488
Cu: 0.8312 0.6623 0.7500
Na: 0.3722 0.7444 0.5512
Br: 0.0000 0.0000 0.0000
Br: 0.2550 0.5100 0.3877



Entry 5:
This record from Alexandria via LeMat-Bulk describes a relaxed FeMoAs2 crystal. The functional is PBE-GGA.

Formation energy   1.73 eV per formula unit
Energy above the most stable polymorph in this dataset   615 meV per atom
Crystal system   cubic
Calculated total energy   -26.9 eV per cell

Cell lengths 4.4256, 4.4256, 4.4256 Å; angles 60.00, 60.00, 60.00 degrees
Element x y z (fractional)
Fe: 0.5000 0.5000 0.5000
As: 0.2500 0.2500 0.2500
Mo: 0.7500 0.7500 0.7500
As: 0.0000 0.0000 0.0000



Entry 6:
This record from Alexandria via LeMat-Bulk describes a relaxed RbNa3Ag3 crystal. The functional is PBE-GGA.

Formation energy   1.49 eV per formula unit
Crystal system   cubic
Calculated total energy   -24.0 eV per cell

Cell lengths 8.2131, 8.2131, 8.2131 Å; angles 90.00, 90.00, 90.00 degrees
Element x y z (fractional)
Na: 0.5000 0.0000 0.7500
Ag: 0.5000 0.7500 0.0000
Na: 0.5000 0.0000 0.2500
Na: 0.7500 0.5000 0.0000
Ag: 0.5000 0.2500 0.0000
Na: 0.2500 0.5000 0.0000
Ag: 0.7500 0.0000 0.5000
Na: 0.0000 0.7500 0.5000
Ag: 0.0000 0.5000 0.2500
Ag: 0.2500 0.0000 0.5000
Rb: 0.0000 0.0000 0.0000
Ag: 0.0000 0.5000 0.7500
Na: 0.0000 0.2500 0.5000
Rb: 0.5000 0.5000 0.5000



Entry 7:
This record from Alexandria via LeMat-Bulk describes a relaxed KHo4Te6 crystal. The functional is PBE-GGA.

Crystal system   orthorhombic
Calculated total energy   -105.7 eV per cell

Cell lengths 4.4044, 7.5902, 23.0708 Å; angles 90.00, 90.00, 106.87 degrees
Element x y z (fractional)
Te: 0.9560 0.9120 0.8444
Ho: 0.5921 0.1842 0.8694
Te: 0.0440 0.0880 0.3444
Ho: 0.4079 0.8158 0.3694
Te: 0.0440 0.0880 0.1556
Te: 0.2284 0.4569 0.5823
Te: 0.7716 0.5431 0.0823
Te: 0.6566 0.3131 0.7500
K: 0.3391 0.6782 0.7500
Ho: 0.1351 0.2702 0.0397
Ho: 0.1351 0.2702 0.4603
Te: 0.7716 0.5431 0.4177
Ho: 0.5921 0.1842 0.6306
Ho: 0.8649 0.7298 0.9603
Te: 0.9560 0.9120 0.6556
Te: 0.5000 0.0000 0.5000
Te: 0.2284 0.4569 0.9177
Te: 0.5000 0.0000 0.0000
K: 0.6609 0.3218 0.2500
Te: 0.3434 0.6869 0.2500
Ho: 0.8649 0.7298 0.5397
Ho: 0.4079 0.8158 0.1306



Entry 8:
This record from Alexandria via LeMat-Bulk describes a relaxed DyPaNiS4 crystal. The functional is PBE-GGA.

Crystal system   monoclinic
Calculated total energy   -93.3 eV per cell

Cell lengths 6.2704, 5.9507, 7.5361 Å; angles 90.00, 106.35, 90.00 degrees
Element x y z (fractional)
Ni: 0.7600 0.2500 0.6690
Dy: 0.7536 0.7500 0.9426
S: 0.9840 0.0107 0.2492
Pa: 0.2421 0.2500 0.5575
S: 0.9840 0.4893 0.2492
Ni: 0.2400 0.7500 0.3310
S: 0.4370 0.7500 0.6166
S: 0.5658 0.2500 0.8805
S: 0.0160 0.5107 0.7508
S: 0.0160 0.9893 0.7508
Dy: 0.2464 0.2500 0.0574
S: 0.5630 0.2500 0.3834
S: 0.4342 0.7500 0.1195
Pa: 0.7579 0.7500 0.4425



Entry 9:
This record from Alexandria via LeMat-Bulk describes a relaxed TbMgPa2Ru4 crystal. The functional is PBE-GGA.

Formation energy   -3.53 eV per formula unit
Crystal system   trigonal
Calculated total energy   -65.8 eV per cell

Cell lengths 4.5171, 4.5171, 9.1747 Å; angles 75.75, 75.75, 60.00 degrees
Element x y z (fractional)
Pa: 0.2437 0.2437 0.2690
Mg: 0.5000 0.5000 0.5000
Ru: 0.8781 0.8781 0.3657
Tb: 0.0000 0.0000 0.0000
Pa: 0.7563 0.7563 0.7310
Ru: 0.3968 0.3968 0.8097
Ru: 0.6032 0.6032 0.1903
Ru: 0.1219 0.1219 0.6343



Entry 10:
This record from Alexandria via LeMat-Bulk describes a relaxed Bi2SeCl3 crystal. The functional is PBE-GGA.

Crystal system   monoclinic
Calculated total energy   -41.1 eV per cell

Cell lengths 4.2379, 9.1322, 11.5158 Å; angles 67.78, 79.40, 76.58 degrees
Element x y z (fractional)
Cl: 0.7848 0.8295 0.6009
Se: 0.5667 0.5296 0.3370
Cl: 0.2152 0.1705 0.3991
Se: 0.4333 0.4704 0.6630
Bi: 0.3840 0.7845 0.4476
Cl: 0.0844 0.1080 0.7232
Bi: 0.6160 0.2155 0.5524
Bi: 0.8671 0.4201 0.8457
Cl: 0.3253 0.3229 0.0266
Bi: 0.1329 0.5799 0.1543
Cl: 0.9156 0.8920 0.2768
Cl: 0.6747 0.6771 0.9734



Entry 11:
This record from Alexandria via LeMat-Bulk describes a relaxed CdCoAu2 crystal. The functional is PBE-GGA.

Formation energy   0.53 eV per formula unit
Crystal system   tetragonal
Calculated total energy   -14.0 eV per cell

Cell lengths 2.9233, 2.9233, 7.9119 Å; angles 90.00, 90.00, 90.00 degrees
Element x y z (fractional)
Co: 0.5000 0.5000 0.7589
Au: 0.0000 0.0000 0.9732
Au: 0.5000 0.5000 0.2458
Cd: 0.0000 0.0000 0.5222



Entry 12:
This record from Alexandria via LeMat-Bulk describes a relaxed AlHg2O crystal. The functional is PBE-GGA.

Energy above the most stable polymorph in this dataset   0 meV per atom
Crystal system   tetragonal
Calculated total energy   -18.4 eV per cell

Cell lengths 6.3464, 6.3464, 6.2080 Å; angles 59.26, 59.26, 90.00 degrees
Element x y z (fractional)
Al: 0.7500 0.2500 0.5000
Hg: 0.5853 0.1250 0.2500
O: 0.5000 0.5000 0.0000
Hg: 0.8750 0.8353 0.7500
Al: 0.0000 0.0000 0.0000
Hg: 0.3750 0.4147 0.7500
Hg: 0.1647 0.6250 0.2500
O: 0.2500 0.7500 0.5000